No. 1
First-principles (GGA-PBE) data for a relaxed DyTm2Sc crystal, as listed in Alexandria via LeMat-Bulk.

The structure belongs to space group Imm2 (No. 44); the cell edges are 3.5211, 10.9335 and 6.0722 Å and the angles 90.00°, 90.00° and 90.00°. The inequivalent atoms are Dy at (0.0000, 0.0000, 0.0000), Tm at (0.0000, 0.2451, 0.3405) and Sc at (0.0000, 0.5000, 0.0056).

The formation energy is 12 meV per atom.

=====

No. 2
First-principles (GGA-PBE) data for a relaxed Dy6TmSc3 crystal, as listed in Alexandria via LeMat-Bulk.

The structure belongs to space group Cmc2_1 (No. 36); the cell edges are 9.3655, 20.3051 and 6.2109 Å and the angles 90.00°, 90.00° and 90.00°. The inequivalent atoms are Dy at (0.0000, 0.0146, 0.0000), Dy at (0.0000, 0.3020, 0.9976), Dy at (0.1776, 0.2816, 0.5303), Dy at (0.1799, 0.4427, 0.7884), Tm at (0.0000, 0.1574, 0.2237), Sc at (0.0000, 0.4167, 0.3083) and Sc at (0.1670, 0.1265, 0.6940).

The formation energy is 129 meV per atom.

=====

no.,excess energy over the best structure of this formula in the dataset (meV/atom),size of the total moment (μB per formula unit)
1,0,0.001
2,0,0.000